Computed, not measured: an optimized crystal structure of Cs2MgFeO4 at the PBE+U level of DFT.

E = -5.16 eV/atom

```
Cs2MgFeO4
1.0
5.3193 0.0000 0.0000
2.6597 6.3980 0.0000
2.6597 0.0000 10.8744
O Mg Cs Fe
8 2 4 2
Direct
0.8541 0.8250 0.9296
0.1413 0.3250 0.4296
0.6087 0.1750 0.0704
0.2163 0.1750 0.9296
0.3209 0.8250 0.0704
0.8959 0.6750 0.5704
0.4291 0.6750 0.4296
0.5337 0.3250 0.5704
0.7500 0.5000 0.5000
0.0000 0.0000 0.0000
0.9286 0.5000 0.1429
0.5714 0.5000 0.8571
0.8214 0.0000 0.3571
0.1786 0.0000 0.6429
0.5000 0.0000 0.0000
0.2500 0.5000 0.5000
```